# 1
Here is crystalline NiOs2Pd2 at its relaxed geometry from the Alexandria database. Energies are from PBE.

Unit cell a=7.6206 b=7.6206 c=2.7186 alpha=90.00 beta=90.00 gamma=90.00
Sites, in units of the cell vectors:
1 Pd 0.6810 0.1810 0.0000
2 Pd 0.8190 0.6810 0.0000
3 Pd 0.3190 0.8190 0.0000
4 Pd 0.1810 0.3190 0.0000
5 Os 0.1146 0.6146 0.5000
6 Os 0.8854 0.3854 0.5000
7 Os 0.6146 0.8854 0.5000
8 Os 0.3854 0.1146 0.5000
9 Ni 0.5000 0.5000 0.0000
10 Ni 0.0000 0.0000 0.0000

Computed properties:
For the energy, the calculation gives -6.9618 eV/atom.



# 2
Here is crystalline NiOs3Pd at its relaxed geometry from the Alexandria database. Energies are from PBE.

Unit cell a=4.3978 b=4.3978 c=4.3978 alpha=90.00 beta=90.00 gamma=90.00
Site moments in Bohr magnetons follow the coordinates.
Sites, in units of the cell vectors:
1 Os 0.5000 0.0000 0.0000  0.57
2 Os 0.0000 0.5000 0.0000  0.50
3 Os 0.0000 0.0000 0.5000  0.65
4 Pd 0.5000 0.5000 0.5000  0.19
5 Ni 0.0000 0.0000 0.0000  0.46

Computed properties:
For the energy, the calculation gives -6.9992 eV/atom.



# 3
Here is crystalline Ni3OsPd at its relaxed geometry from the Alexandria database. Energies are from PBE.

Unit cell a=4.4492 b=4.4492 c=4.4492 alpha=90.00 beta=90.00 gamma=90.00
Sites, in units of the cell vectors:
1 Os 0.0000 0.0000 0.0000
2 Ni 0.0000 0.5000 0.0000
3 Ni 0.0000 0.0000 0.5000
4 Ni 0.5000 0.0000 0.0000
5 Pd 0.5000 0.5000 0.5000

Computed properties:
For the energy, the calculation gives -5.3968 eV/atom.



# 4
Here is crystalline Ni2OsPd at its relaxed geometry from the Alexandria database. Energies are from PBE.

Unit cell a=2.6627 b=2.6627 c=7.2908 alpha=90.00 beta=90.00 gamma=90.00
Sites, in units of the cell vectors:
1 Os 0.5000 0.5000 0.0000
2 Pd 0.5000 0.5000 0.5000
3 Ni 0.0000 0.0000 0.2389
4 Ni 0.0000 0.0000 0.7611

Computed properties:
For the energy, the calculation gives -6.9121 eV/atom.



# 5
Here is crystalline Ni2OsPd at its relaxed geometry from the Alexandria database. Energies are from PBE.

Unit cell a=2.6888 b=2.6888 c=8.4977 alpha=80.90 beta=80.90 gamma=60.00
Sites, in units of the cell vectors:
1 Ni 0.2468 0.2468 0.2595
2 Ni 0.0866 0.0866 0.7402
3 Pd 0.6667 0.6667 0.9999
4 Os 0.4998 0.4998 0.5005

Computed properties:
For the energy, the calculation gives -6.9096 eV/atom.



# 6
Here is crystalline Ni2OsPd at its relaxed geometry from the Alexandria database. Energies are from PBE.

Unit cell a=2.6743 b=2.6743 c=8.5749 alpha=81.03 beta=81.03 gamma=60.00
Sites, in units of the cell vectors:
1 Pd 0.5000 0.5000 0.5000
2 Ni 0.7473 0.7473 0.7580
3 Ni 0.2527 0.2527 0.2420
4 Os 0.0000 0.0000 0.0000

Computed properties:
For the energy, the calculation gives -6.9058 eV/atom.



Values of ΔE_f, in order: 0.76; 1.93; 1.36; 0.08; 0.09; 0.09, all in eV/atom.
Values of calculated density, in order: 13.71; 14.37; 8.91; 13.30; 13.14; 13.16, all in g cm⁻³.